Below is an optimized crystal structure of Be2MoPb2O6, with properties calculated at the PBE with a Hubbard U level.

## Properties
N(E_F) in states/eV/f.u.: 0.00
Total energy in eV per formula unit: -71.5
Space group: No. 147

Cell: 5.108 5.108 7.928 Å, 90.00 90.00 120.00°
Site moments in Bohr magnetons follow the coordinates.
Atoms (fractional coordinates):
Be  0.333  0.667  0.854  0.01
Be  0.667  0.333  0.146  0.01
Mo  0.000  0.000  0.000  1.87
Pb  0.333  0.667  0.306  0.02
Pb  0.667  0.333  0.694  0.02
O  0.300  0.348  0.844  0.00
O  0.048  0.700  0.844  0.00
O  0.652  0.952  0.844  0.00
O  0.700  0.652  0.156  0.00
O  0.952  0.300  0.156  0.00
O  0.348  0.048  0.156  0.00